[1]
# ReRuRh2 | Alexandria via LeMat-Bulk | GGA-PBE | optimized geometry
# ΔE to the lowest computed polymorph: 1.42 kcal/mol of atoms
# formation enthalpy at 0 K: -21 meV/atom
data_ReRuRh2
_symmetry_space_group_name_H-M 'P 4 m m'
_symmetry_Int_Tables_number 99
_symmetry_space_group_name_Hall 'P 4 -2'
_cell_length_a 2.724
_cell_length_b 2.724
_cell_length_c 7.717
_cell_angle_alpha 90.00
_cell_angle_beta 90.00
_cell_angle_gamma 90.00
loop_
_atom_site_label
_atom_site_type_symbol
_atom_site_fract_x
_atom_site_fract_y
_atom_site_fract_z
_atom_site_occupancy
Re1 Re 0.000 0.000 0.000 1
Ru1 Ru 0.500 0.500 0.751 1
Rh1 Rh 0.000 0.000 0.506 1
Rh2 Rh 0.500 0.500 0.245 1


[2]
# Pr3Te2Se2 | Alexandria via LeMat-Bulk | GGA-PBE | optimized geometry
# ΔE_f (raw): -1669 meV per atom
# ΔE to the lowest computed polymorph: 0.00 kcal/mol of atoms
data_Pr3Te2Se2
_symmetry_space_group_name_H-M 'C 1 2/m 1'
_symmetry_Int_Tables_number 12
_symmetry_space_group_name_Hall '-C 2y'
_cell_length_a 14.279
_cell_length_b 4.333
_cell_length_c 7.741
_cell_angle_alpha 90.00
_cell_angle_beta 98.82
_cell_angle_gamma 90.00
loop_
_atom_site_label
_atom_site_type_symbol
_atom_site_fract_x
_atom_site_fract_y
_atom_site_fract_z
_atom_site_occupancy
Pr1 Pr 0.000 0.000 0.000 1
Pr2 Pr 0.244 0.000 0.753 1
Te1 Te 0.119 0.000 0.379 1
Se1 Se 0.128 0.500 0.893 1


[3]
# ScIr2Pb | Alexandria via LeMat-Bulk | GGA-PBE | optimized geometry
# formation enthalpy at 0 K: 36 meV/atom
data_ScIr2Pb
_symmetry_space_group_name_H-M 'F -4 3 m'
_symmetry_Int_Tables_number 216
_symmetry_space_group_name_Hall 'F -4 2 3'
_cell_length_a 6.619
_cell_length_b 6.619
_cell_length_c 6.619
_cell_angle_alpha 90.00
_cell_angle_beta 90.00
_cell_angle_gamma 90.00
loop_
_atom_site_label
_atom_site_type_symbol
_atom_site_fract_x
_atom_site_fract_y
_atom_site_fract_z
_atom_site_occupancy
Sc1 Sc 0.000 0.000 0.000 1
Ir1 Ir 0.000 0.000 0.500 1
Ir2 Ir 0.250 0.250 0.250 1
Pb1 Pb 0.250 0.250 0.750 1


[4]
# Li5SnHg4 | Alexandria via LeMat-Bulk | GGA-PBE | optimized geometry
# formation enthalpy at 0 K: -365 meV/atom
data_Li5SnHg4
_symmetry_space_group_name_H-M 'P 4/m m m'
_symmetry_Int_Tables_number 123
_symmetry_space_group_name_Hall '-P 4 2'
_cell_length_a 3.398
_cell_length_b 3.398
_cell_length_c 16.227
_cell_angle_alpha 90.00
_cell_angle_beta 90.00
_cell_angle_gamma 90.00
loop_
_atom_site_label
_atom_site_type_symbol
_atom_site_fract_x
_atom_site_fract_y
_atom_site_fract_z
_atom_site_occupancy
Li1 Li 0.000 0.000 0.000 1
Li2 Li 0.000 0.000 0.198 1
Li3 Li 0.000 0.000 0.394 1
Sn1 Sn 0.500 0.500 0.500 1
Hg1 Hg 0.500 0.500 0.098 1
Hg2 Hg 0.500 0.500 0.295 1


[5]
# Pr2AgSb | Alexandria via LeMat-Bulk | GGA-PBE | optimized geometry
# ΔE_f (raw): -571 meV per atom
data_Pr2AgSb
_symmetry_space_group_name_H-M 'R -3 m'
_symmetry_Int_Tables_number 166
_symmetry_space_group_name_Hall '-R 3 2"'
_cell_length_a 4.5190
_cell_length_b 4.5190
_cell_length_c 21.9730
_cell_angle_alpha 90.00
_cell_angle_beta 90.00
_cell_angle_gamma 120.00
loop_
_atom_site_label
_atom_site_type_symbol
_atom_site_fract_x
_atom_site_fract_y
_atom_site_fract_z
_atom_site_occupancy
Pr1 Pr 0.0000 0.0000 0.2487 1
Ag1 Ag 0.0000 0.0000 0.0000 1
Sb1 Sb 0.0000 0.0000 0.5000 1


[6]
# ZnBi4 | Alexandria via LeMat-Bulk | GGA-PBE | optimized geometry
# formation enthalpy at 0 K: 434 meV/atom
data_ZnBi4
_symmetry_space_group_name_H-M 'P m -3 m'
_symmetry_Int_Tables_number 221
_symmetry_space_group_name_Hall '-P 4 2 3'
_cell_length_a 5.430
_cell_length_b 5.430
_cell_length_c 5.430
_cell_angle_alpha 90.00
_cell_angle_beta 90.00
_cell_angle_gamma 90.00
loop_
_atom_site_label
_atom_site_type_symbol
_atom_site_fract_x
_atom_site_fract_y
_atom_site_fract_z
_atom_site_occupancy
Zn1 Zn 0.000 0.000 0.000 1
Bi1 Bi 0.000 0.000 0.500 1
Bi2 Bi 0.500 0.500 0.500 1